1.
{"formula": "YMn2Al2", "functional": "PBE", "state": "relaxed", "formation_energy_ev_per_atom": -0.11, "cell": [[-0.479, 2.600, 3.170], [-3.690, -1.665, 0.808], [0.109, -2.895, 5.079]], "species": ["Y", "Al", "Al", "Mn", "Mn"], "fractional_positions": [[0.000, 0.000, 0.000], [0.250, 0.750, 0.500], [0.750, 0.250, 0.500], [0.399, 0.399, 0.202], [0.601, 0.601, 0.798]]}


2.
{"formula": "TaSBr2", "functional": "PBE", "state": "relaxed", "formation_energy_uncorrected_ev_per_fu": 2.298, "cell": [[0.000, 3.341, 3.341], [3.341, 0.000, 3.341], [3.341, 3.341, 0.000]], "species": ["Ta", "Br", "Br", "S"], "fractional_positions": [[0.500, 0.500, 0.500], [0.250, 0.250, 0.250], [0.750, 0.750, 0.750], [0.000, 0.000, 0.000]]}


3.
{"formula": "Cs3LiTl2Cl9", "functional": "PBE", "state": "relaxed", "formation_energy_uncorrected_ev_per_fu": -21.040, "cell": [[-2.462, -0.210, -7.176], [7.449, 0.096, 1.455], [0.072, -9.340, 0.249]], "species": ["Cl", "Cl", "Cl", "Cl", "Cl", "Cl", "Cl", "Cl", "Cl", "Cs", "Cs", "Cs", "Tl", "Tl", "Li"], "fractional_positions": [[0.837, 0.163, 0.665], [0.500, 0.000, 0.000], [0.000, 0.500, 0.000], [0.326, 0.163, 0.665], [0.837, 0.674, 0.665], [0.163, 0.837, 0.335], [0.163, 0.326, 0.335], [0.500, 0.500, 0.000], [0.674, 0.837, 0.335], [0.667, 0.333, 0.340], [0.000, 0.000, 0.000], [0.333, 0.667, 0.660], [0.667, 0.333, 0.820], [0.333, 0.667, 0.180], [0.000, 0.000, 0.500]]}


4.
{"formula": "NiOsBr2", "functional": "PBE", "state": "relaxed", "formation_energy_uncorrected_ev_per_fu": 4.920, "cell": [[0.000, 3.195, 3.195], [3.195, 0.000, 3.195], [3.195, 3.195, 0.000]], "species": ["Br", "Br", "Ni", "Os"], "fractional_positions": [[0.250, 0.250, 0.250], [0.750, 0.750, 0.750], [0.000, 0.000, 0.000], [0.500, 0.500, 0.500]]}


5.
{"formula": "InPHAu2", "functional": "PBE", "state": "relaxed", "e_tot_ev_per_atom": -3.551, "cell": [[-1.954, 0.491, -4.620], [-4.626, 0.256, 1.984], [0.283, 3.316, 0.233]], "species": ["In", "Au", "Au", "P", "H"], "fractional_positions": [[0.500, 0.500, 0.500], [0.500, 0.000, 0.000], [0.000, 0.500, 0.000], [0.000, 0.000, 0.000], [0.000, 0.000, 0.500]]}


6.
{"formula": "Pr2NdY4", "functional": "PBE", "state": "relaxed", "formation_energy_ev_per_atom": 0.62, "cell": [[5.588, 0.000, 0.000], [0.000, 5.588, 0.000], [-2.794, -2.794, 8.653]], "species": ["Y", "Y", "Y", "Y", "Nd", "Pr", "Pr"], "fractional_positions": [[0.500, 0.000, 0.000], [0.176, 0.176, 0.352], [0.824, 0.824, 0.648], [0.000, 0.500, 0.000], [0.000, 0.000, 0.000], [0.376, 0.376, 0.753], [0.624, 0.624, 0.247]]}


7.
{"formula": "CoRuSe", "functional": "PBE", "state": "relaxed", "formation_energy_uncorrected_ev_per_fu": 0.925, "cell": [[4.148, 0.000, 0.000], [-2.074, 2.074, 0.000], [0.000, 0.000, 10.791]], "species": ["Se", "Se", "Ru", "Ru", "Co", "Co"], "fractional_positions": [[0.611, 0.222, 0.211], [0.611, 0.222, 0.789], [0.111, 0.223, 0.655], [0.111, 0.223, 0.345], [0.610, 0.221, 0.000], [0.611, 0.222, 0.500]]}


8.
{"formula": "LaInTc3", "functional": "PBE", "state": "relaxed", "formation_energy_ev_per_atom": 1.55, "cell": [[-4.113, 2.680, -0.647], [-1.589, -1.354, 4.490], [2.253, 3.937, 1.984]], "species": ["Tc", "Tc", "Tc", "In", "La"], "fractional_positions": [[0.500, 0.000, 0.000], [0.000, 0.000, 0.500], [0.000, 0.500, 0.000], [0.000, 0.000, 0.000], [0.500, 0.500, 0.500]]}


9.
{"formula": "LaNd6YEr2", "functional": "PBE", "state": "relaxed", "formation_energy_ev_per_atom": 0.11, "cell": [[-3.899, -3.884, -8.089], [7.785, 2.079, -3.979], [-0.400, -7.679, 4.652]], "species": ["Nd", "Nd", "Nd", "Nd", "Nd", "Nd", "Nd", "Nd", "Nd", "Nd", "Nd", "Nd", "Er", "Er", "Er", "Er", "Y", "Y", "La", "La"], "fractional_positions": [[0.121, 0.706, 0.492], [0.182, 0.565, 0.019], [0.379, 0.508, 0.294], [0.682, 0.019, 0.565], [0.446, 0.240, 0.888], [0.818, 0.435, 0.981], [0.879, 0.294, 0.508], [0.621, 0.492, 0.706], [0.054, 0.112, 0.760], [0.554, 0.760, 0.112], [0.318, 0.981, 0.435], [0.946, 0.888, 0.240], [0.454, 0.805, 0.707], [0.954, 0.707, 0.805], [0.046, 0.293, 0.195], [0.546, 0.195, 0.293], [0.750, 0.030, 0.970], [0.250, 0.970, 0.030], [0.250, 0.406, 0.594], [0.750, 0.594, 0.406]]}


10.
{"formula": "Np2PdS3", "functional": "PBE", "state": "relaxed", "formation_energy_uncorrected_ev_per_fu": -6.506, "cell": [[-2.734, -0.882, -2.069], [2.506, -3.213, -1.941], [-2.203, -2.875, 7.163]], "species": ["S", "S", "S", "Np", "Np", "Pd"], "fractional_positions": [[0.825, 0.825, 0.649], [0.000, 0.500, 0.000], [0.175, 0.175, 0.351], [0.359, 0.359, 0.717], [0.641, 0.641, 0.283], [0.000, 0.000, 0.000]]}


11.
{"formula": "LaPmHo", "functional": "PBE", "state": "relaxed", "formation_energy_ev_per_atom": 0.02, "cell": [[3.657, 0.000, 0.000], [0.000, 5.145, 0.000], [-1.828, -2.573, 5.441]], "species": ["La", "Pm", "Ho"], "fractional_positions": [[0.667, 0.667, 0.333], [0.335, 0.335, 0.670], [0.999, 0.999, 0.997]]}


12.
{"formula": "Mg6TlPb5", "functional": "PBE", "state": "relaxed", "formation_energy_ev_per_atom": -0.05, "cell": [[5.022, -0.024, -1.421], [-3.770, 7.431, -3.745], [-0.183, -0.971, 9.083]], "species": ["Pb", "Pb", "Pb", "Pb", "Pb", "Mg", "Mg", "Mg", "Mg", "Mg", "Mg", "Tl"], "fractional_positions": [[0.500, 0.500, 0.500], [0.500, 0.169, 0.831], [0.500, 0.831, 0.169], [0.000, 0.664, 0.336], [0.000, 0.336, 0.664], [0.248, 0.412, 0.082], [0.752, 0.918, 0.588], [0.262, 0.760, 0.760], [0.752, 0.588, 0.918], [0.738, 0.240, 0.240], [0.248, 0.082, 0.412], [0.000, 0.000, 0.000]]}


13.
{"formula": "Te2PtN", "functional": "PBE", "state": "relaxed", "formation_energy_uncorrected_ev_per_fu": 1.714, "cell": [[-2.586, 2.225, 6.022], [1.549, 1.451, 6.588], [0.300, 5.053, 4.721]], "species": ["Pt", "Te", "Te", "N"], "fractional_positions": [[0.500, 0.500, 0.500], [0.100, 0.100, 0.100], [0.900, 0.900, 0.900], [0.000, 0.000, 0.000]]}


14.
{"formula": "NaScCuTc2", "functional": "PBE", "state": "relaxed", "formation_energy_ev_per_atom": 1.69, "cell": [[4.685, 0.000, 0.000], [0.000, 4.333, 0.000], [0.000, 0.000, 4.685]], "species": ["Cu", "Na", "Tc", "Tc", "Sc"], "fractional_positions": [[0.000, 0.500, 0.000], [0.000, 0.000, 0.000], [0.000, 0.000, 0.500], [0.500, 0.000, 0.000], [0.500, 0.500, 0.500]]}


15.
{"formula": "Pm2Ga5Ag", "functional": "PBE", "state": "relaxed", "formation_energy_ev_per_atom": -0.46, "cell": [[-4.200, 2.508, -3.784], [-1.990, -5.651, -1.537], [0.201, 1.695, 5.955]], "species": ["Ag", "Ga", "Ga", "Ga", "Ga", "Ga", "Pm", "Pm"], "fractional_positions": [[0.146, 0.146, 0.292], [0.252, 0.252, 0.957], [0.758, 0.758, 0.516], [0.705, 0.252, 0.957], [0.705, 0.705, 0.957], [0.252, 0.705, 0.957], [0.729, 0.229, 0.458], [0.229, 0.729, 0.458]]}


16.
{"formula": "La2NiAsSe", "functional": "PBE", "state": "relaxed", "formation_energy_uncorrected_ev_per_fu": -4.242, "cell": [[-5.621, -1.063, -0.398], [0.829, -4.107, -0.737], [-0.200, -1.051, 5.634]], "species": ["La", "La", "Se", "Ni", "As"], "fractional_positions": [[0.000, 0.000, 0.500], [0.500, 0.000, 0.000], [0.500, 0.500, 0.500], [0.000, 0.500, 0.000], [0.000, 0.000, 0.000]]}


17.
{"formula": "Fe2CuMo", "functional": "PBE", "state": "relaxed", "formation_energy_ev_per_atom": 0.23, "cell": [[4.548, -0.018, 0.043], [3.808, 2.487, 0.043], [0.699, 0.207, 4.485]], "species": ["Fe", "Fe", "Cu", "Mo"], "fractional_positions": [[0.002, 0.002, 0.005], [0.744, 0.744, 0.753], [0.255, 0.255, 0.236], [0.500, 0.500, 0.506]]}


18.
{"formula": "SrReN3", "functional": "PBE", "state": "relaxed", "formation_energy_uncorrected_ev_per_fu": -1.084, "cell": [[4.507, 0.014, -0.008], [1.150, 10.425, -0.404], [-1.184, -1.539, 4.090]], "species": ["Re", "Re", "N", "N", "N", "N", "N", "N", "Sr", "Sr"], "fractional_positions": [[0.886, 0.160, 0.984], [0.547, 0.160, 0.322], [0.718, 0.024, 0.527], [0.214, 0.298, 0.282], [0.219, 0.022, 0.023], [0.584, 0.661, 0.145], [0.848, 0.659, 0.158], [0.715, 0.296, 0.779], [0.214, 0.421, 0.898], [0.219, 0.898, 0.408]]}


19.
{"formula": "Ca4Ga3Pd2", "functional": "PBE", "state": "relaxed", "formation_energy_ev_per_atom": -0.57, "cell": [[-1.024, 2.894, -2.746], [-2.067, -5.081, -4.584], [-5.602, 0.594, 5.803]], "species": ["Ca", "Ca", "Ca", "Ca", "Ga", "Ga", "Ga", "Pd", "Pd"], "fractional_positions": [[0.770, 0.315, 0.541], [0.422, 0.124, 0.844], [0.230, 0.685, 0.459], [0.578, 0.876, 0.156], [0.100, 0.218, 0.201], [0.000, 0.500, 0.000], [0.900, 0.782, 0.799], [0.593, 0.443, 0.186], [0.407, 0.557, 0.814]]}


20.
{"formula": "In2Te4Pb", "functional": "PBE", "state": "relaxed", "formation_energy_uncorrected_ev_per_fu": -2.214, "cell": [[6.883, 0.175, 0.000], [-3.220, 6.086, 0.000], [0.000, 0.000, 11.790]], "species": ["Te", "Te", "Te", "Te", "Te", "Te", "Te", "Te", "In", "In", "In", "In", "Pb", "Pb"], "fractional_positions": [[0.000, 0.500, 0.813], [0.000, 0.500, 0.187], [0.214, 0.343, 0.500], [0.500, 0.000, 0.687], [0.500, 0.000, 0.313], [0.657, 0.786, 0.000], [0.786, 0.657, 0.500], [0.343, 0.214, 0.000], [0.234, 0.772, 0.500], [0.772, 0.234, 0.000], [0.766, 0.228, 0.500], [0.228, 0.766, 0.000], [0.500, 0.500, 0.250], [0.500, 0.500, 0.750]]}


21.
{"formula": "AgHg3", "functional": "PBE", "state": "relaxed", "formation_energy_ev_per_atom": 0.09, "cell": [[-2.311, -1.203, -1.995], [1.012, -1.753, 2.583], [-6.953, 4.159, 5.546]], "species": ["Ag", "Hg", "Hg", "Hg"], "fractional_positions": [[0.000, 0.000, 0.000], [0.000, 0.000, 0.500], [0.333, 0.667, 0.235], [0.333, 0.667, 0.765]]}


22.
{"formula": "Sr3SiAu", "functional": "PBE", "state": "relaxed", "formation_energy_uncorrected_ev_per_fu": -0.663, "cell": [[5.976, 0.000, 0.000], [0.000, 5.976, 0.000], [0.000, 0.000, 5.976]], "species": ["Au", "Sr", "Sr", "Sr", "Si"], "fractional_positions": [[0.500, 0.500, 0.500], [0.000, 0.500, 0.000], [0.500, 0.000, 0.000], [0.000, 0.000, 0.500], [0.000, 0.000, 0.000]]}


23.
{"formula": "SmY12Al4N3", "functional": "PBE", "state": "relaxed", "formation_energy_uncorrected_ev_per_fu": -7.436, "cell": [[-0.944, -6.566, -5.373], [5.051, -2.326, 6.476], [-7.636, 2.313, 3.036]], "species": ["Y", "Y", "Y", "Y", "Y", "Y", "Y", "Y", "Y", "Y", "Y", "Y", "Al", "Al", "Al", "Al", "N", "N", "N", "Sm"], "fractional_positions": [[0.750, 0.500, 0.250], [0.500, 0.750, 0.250], [0.000, 0.274, 0.274], [0.726, 0.726, 0.000], [0.274, 0.000, 0.274], [0.750, 0.250, 0.500], [0.250, 0.750, 0.500], [0.000, 0.726, 0.726], [0.274, 0.274, 0.000], [0.250, 0.500, 0.750], [0.726, 0.000, 0.726], [0.500, 0.250, 0.750], [0.000, 0.000, 0.500], [0.500, 0.000, 0.000], [0.000, 0.500, 0.000], [0.500, 0.500, 0.500], [0.500, 0.500, 0.000], [0.500, 0.000, 0.500], [0.000, 0.500, 0.500], [0.000, 0.000, 0.000]]}


24.
{"formula": "KSrHBr2", "functional": "PBE", "state": "relaxed", "e_tot_ev_per_atom": -3.291, "cell": [[-5.730, 1.808, -0.802], [-0.709, -4.173, -4.339], [-1.410, -3.062, 3.175]], "species": ["H", "Sr", "K", "Br", "Br"], "fractional_positions": [[0.000, 0.000, 0.500], [0.000, 0.000, 0.000], [0.500, 0.500, 0.500], [0.500, 0.000, 0.000], [0.000, 0.500, 0.000]]}


25.
{"formula": "Zr4TlCd", "functional": "PBE", "state": "relaxed", "formation_energy_ev_per_atom": 0.26, "cell": [[0.000, 4.128, 4.128], [4.128, 0.000, 4.128], [4.128, 4.128, 0.000]], "species": ["Tl", "Zr", "Zr", "Zr", "Zr", "Cd"], "fractional_positions": [[0.000, 0.000, 0.000], [0.375, 0.875, 0.375], [0.375, 0.375, 0.375], [0.375, 0.375, 0.875], [0.875, 0.375, 0.375], [0.750, 0.750, 0.750]]}